{"formula": "Sr2ThFeO6", "functional": "GGA+U", "state": "optimized geometry", "lattice": [[-4.488, 3.278, -2.039], [-3.444, -2.069, 4.256], [5.187, 2.446, 1.363]], "species": ["Fe", "Sr", "Sr", "O", "O", "O", "O", "O", "O", "Th"], "fractional_positions": [[0.500, 0.000, 0.000], [0.759, 0.745, 0.491], [0.241, 0.255, 0.509], [0.649, 0.227, 0.453], [0.227, 0.192, 0.914], [0.351, 0.773, 0.547], [0.773, 0.808, 0.086], [0.773, 0.278, 0.086], [0.227, 0.722, 0.914], [0.000, 0.500, 0.000]], "spacegroup": "C2/m (12)", "energy_ev_per_atom": -7.132}